Record 1
Below is a relaxed Pm8GeP3S4 crystal, with properties calculated at the GGA-PBE level.

POSCAR file:
```
Pm8GeP3S4
1.0
-1.5196 -8.0644 -0.5596
6.2396 -0.8088 -5.2868
1.2623 3.4461 7.3614
S Pm P Ge
4 8 3 1
direct
0.0000 0.0000 0.5000
0.5000 0.0000 0.0000
0.5000 0.0000 0.5000
0.0000 0.0000 0.0000
0.7504 0.2547 0.5008
0.2496 0.7453 0.4992
0.7463 0.7454 0.9959
0.2527 0.2579 0.5053
0.2496 0.7454 0.9959
0.7504 0.2546 0.0041
0.7473 0.7421 0.4947
0.2537 0.2546 0.0041
0.5000 0.5000 0.5000
0.0000 0.5000 0.5000
0.5000 0.5000 0.0000
0.0000 0.5000 0.0000
```

Results
Total magnetic moment (μB per cell): 0.0
Formation energy (no corrections) (kJ/mol of atoms): -171
ρ (g/cm3): 6.14
Uncorrected energy (eV/atom): -6.478



Record 2
Below is a relaxed Pm6GeP3S2 crystal, with properties calculated at the GGA-PBE level.

POSCAR file:
```
Pm6GeP3S2
1.0
4.1198 0.0000 0.0000
0.0000 8.2664 0.3002
-2.0599 -2.3776 8.6776
P Pm S Ge
3 6 2 1
direct
0.5000 0.5000 0.0000
0.8324 0.1682 0.6648
0.1676 0.8318 0.3352
0.9999 0.2548 0.9997
0.3352 0.4119 0.6704
0.3318 0.9200 0.6637
0.0001 0.7452 0.0003
0.6682 0.0800 0.3363
0.6648 0.5881 0.3296
0.1688 0.3374 0.3375
0.8312 0.6626 0.6625
0.5000 0.0000 0.0000
```

Results
Total magnetic moment (μB per cell): 0.0
Formation energy (no corrections) (kJ/mol of atoms): -159
ρ (g/cm3): 6.12
Uncorrected energy (eV/atom): -6.446